Crystalline UCuW at its relaxed geometry, computed with PBE.

Output
ΔE_f = 88.2 kJ/mol of atoms
SG = No. 216
polymorph energy (0 for the lowest one) = 0.000 eV/atom
size of the total moment = 0.009 μB/atom
volume = 19.15 A^3/atom

abc: 4.3311 4.3311 4.3311
angles: 60.00 60.00 60.00
With the nearest neighbours (Å) after each atom.
Atoms (fractional coordinates):
Cu 0.0000 0.0000 0.0000  4 U 2.65, 4 W 2.65
U 0.2500 0.2500 0.2500  4 Cu 2.65
W 0.7500 0.7500 0.7500  4 Cu 2.65

---

Crystalline RbNbB4 at its relaxed geometry, computed with PBE.

Output
SG = No. 71
polymorph energy (0 for the lowest one) = 0.780 eV/atom
size of the total moment = 0.000 μB/atom
volume = 11.82 A^3/atom

abc: 5.1341 5.1341 5.1341
angles: 145.48 108.43 81.95
With the nearest neighbours (Å) after each atom.
Atoms (fractional coordinates):
B 0.5495 0.2340 0.3155  2 B 1.73
B 0.0815 0.7660 0.3155  2 B 1.73
B 0.9185 0.2340 0.6845  2 B 1.73
B 0.4505 0.7660 0.6845  2 B 1.73
Nb 0.5000 0.5000 0.0000  12 B 2.61-2.80
Rb 0.0000 0.0000 0.0000  12 B 2.62-2.79

---

Crystalline SrCuMoIr at its relaxed geometry, computed with PBE.

Output
SG = No. 216
polymorph energy (0 for the lowest one) = 0.000 eV/atom
size of the total moment = 0.000 μB/atom
volume = 17.23 A^3/atom

abc: 4.6020 4.6020 4.6020
angles: 60.00 60.00 60.00
With the nearest neighbours (Å) after each atom.
Atoms (fractional coordinates):
Cu 0.7500 0.7500 0.7500  4 Sr 2.82, 4 Ir 2.82
Ir 0.0000 0.0000 0.0000  4 Cu 2.82, 4 Mo 2.82
Mo 0.2500 0.2500 0.2500  4 Ir 2.82, 4 Sr 2.82
Sr 0.5000 0.5000 0.5000  4 Cu 2.82, 4 Mo 2.82